# PBE GeAsRu2, optimized geometry
# V = 21.196 Å³/atom
# Total magnetization = 0.00 μB/f.u.
# DOS(E_F) = 1.05 states/eV/atom
# ΔH_f (0 K) = 0.306 eV per atom
data_GeAsRu2
_cell_length_a 5.570
_cell_length_b 5.570
_cell_length_c 10.930
_cell_angle_alpha 90.00
_cell_angle_beta 90.00
_cell_angle_gamma 90.00
_symmetry_space_group_name_H-M 'I -4 2 d'
_symmetry_Int_Tables_number 122
_symmetry_space_group_name_Hall 'I -4 2bw'
loop_
_atom_site_label
_atom_site_fract_x
_atom_site_fract_y
_atom_site_fract_z
Ge1 0.000 0.000 0.000
As1 0.000 0.000 0.500
Ru1 0.244 0.250 0.625

# PBE GeAs3Ru, optimized geometry
# V = 22.049 Å³/atom
# Total magnetization = 1.27 μB/f.u.
# Energy above the most stable polymorph in this dataset = 0.724 eV/atom
# DOS(E_F) = 1.44 states/eV/atom
# ΔH_f (0 K) = 1.312 eV per atom
data_GeAs3Ru
_cell_length_a 4.795
_cell_length_b 4.795
_cell_length_c 4.795
_cell_angle_alpha 90.00
_cell_angle_beta 90.00
_cell_angle_gamma 90.00
_symmetry_space_group_name_H-M 'P m -3 m'
_symmetry_Int_Tables_number 221
_symmetry_space_group_name_Hall '-P 4 2 3'
loop_
_atom_site_label
_atom_site_fract_x
_atom_site_fract_y
_atom_site_fract_z
Ge1 0.000 0.000 0.000
As1 0.000 0.000 0.500
Ru1 0.500 0.500 0.500

# PBE Ge2AsRu, optimized geometry
# V = 22.895 Å³/atom
# Total magnetization = 0.00 μB/f.u.
# DOS(E_F) = 0.56 states/eV/atom
# ΔH_f (0 K) = 0.251 eV per atom
data_Ge2AsRu
_cell_length_a 5.759
_cell_length_b 5.759
_cell_length_c 11.043
_cell_angle_alpha 90.00
_cell_angle_beta 90.00
_cell_angle_gamma 90.00
_symmetry_space_group_name_H-M 'I -4 2 d'
_symmetry_Int_Tables_number 122
_symmetry_space_group_name_Hall 'I -4 2bw'
loop_
_atom_site_label
_atom_site_fract_x
_atom_site_fract_y
_atom_site_fract_z
Ge1 0.227 0.250 0.125
As1 0.000 0.000 0.500
Ru1 0.000 0.000 0.000

# PBE GeAsRu, optimized geometry
# V = 17.466 Å³/atom
# Total magnetization = 0.00 μB/f.u.
# DOS(E_F) = 0.79 states/eV/atom
# ΔH_f (0 K) = -0.180 eV per atom
data_GeAsRu
_cell_length_a 2.978
_cell_length_b 5.828
_cell_length_c 6.037
_cell_angle_alpha 90.00
_cell_angle_beta 90.00
_cell_angle_gamma 90.00
_symmetry_space_group_name_H-M 'P m n 21'
_symmetry_Int_Tables_number 31
loop_
_symmetry_equiv_pos_as_xyz
'x,y,z'
'-x+1/2,-y,z+1/2'
'-x,y,z'
'x+1/2,-y,z+1/2'
loop_
_atom_site_label
_atom_site_fract_x
_atom_site_fract_y
_atom_site_fract_z
Ge1 0.000 0.061 0.000
As1 0.000 0.427 0.753
Ru1 0.000 0.263 0.372

# PBE GeAsRu2, optimized geometry
# V = 16.070 Å³/atom
# Total magnetization = 0.00 μB/f.u.
# DOS(E_F) = 0.63 states/eV/atom
# ΔH_f (0 K) = -0.037 eV per atom
data_GeAsRu2
_cell_length_a 3.8059
_cell_length_b 3.8059
_cell_length_c 15.3724
_cell_angle_alpha 90.00
_cell_angle_beta 90.00
_cell_angle_gamma 120.00
_symmetry_space_group_name_H-M 'R 3 m'
_symmetry_Int_Tables_number 160
_symmetry_space_group_name_Hall 'R 3 -2"'
loop_
_atom_site_label
_atom_site_fract_x
_atom_site_fract_y
_atom_site_fract_z
Ge1 0.0000 0.0000 0.0000
As1 0.0000 0.0000 0.1721
Ru1 0.0000 0.0000 0.5723
Ru2 0.0000 0.0000 0.7596

# PBE Ge2As2Ru, optimized geometry
# V = 18.979 Å³/atom
# Total magnetization = 0.70 μB/f.u.
# DOS(E_F) = 0.72 states/eV/atom
# ΔH_f (0 K) = 0.438 eV per atom
data_Ge2As2Ru
_cell_length_a 3.422
_cell_length_b 3.422
_cell_length_c 16.212
_cell_angle_alpha 90.00
_cell_angle_beta 90.00
_cell_angle_gamma 90.00
_symmetry_space_group_name_H-M 'I 4/m m m'
_symmetry_Int_Tables_number 139
_symmetry_space_group_name_Hall '-I 4 2'
loop_
_atom_site_label
_atom_site_fract_x
_atom_site_fract_y
_atom_site_fract_z
Ge1 0.000 0.500 0.250
As1 0.000 0.000 0.083
Ru1 0.000 0.000 0.500

# PBE GeAs3Ru, optimized geometry
# V = 22.250 Å³/atom
# Total magnetization = 0.00 μB/f.u.
# Energy above the most stable polymorph in this dataset = 0.000 eV/atom
# DOS(E_F) = 1.21 states/eV/atom
# ΔH_f (0 K) = 0.588 eV per atom
data_GeAs3Ru
_cell_length_a 4.809
_cell_length_b 4.809
_cell_length_c 4.809
_cell_angle_alpha 90.00
_cell_angle_beta 90.00
_cell_angle_gamma 90.00
_symmetry_space_group_name_H-M 'P m -3 m'
_symmetry_Int_Tables_number 221
_symmetry_space_group_name_Hall '-P 4 2 3'
loop_
_atom_site_label
_atom_site_fract_x
_atom_site_fract_y
_atom_site_fract_z
Ge1 0.000 0.000 0.000
As1 0.000 0.500 0.500
Ru1 0.500 0.500 0.500

# PBE GeAsRu2, optimized geometry
# V = 14.362 Å³/atom
# Total magnetization = 0.00 μB/f.u.
# DOS(E_F) = 0.51 states/eV/atom
# ΔH_f (0 K) = -0.123 eV per atom
data_GeAsRu2
_cell_length_a 3.063
_cell_length_b 3.063
_cell_length_c 6.124
_cell_angle_alpha 90.00
_cell_angle_beta 90.00
_cell_angle_gamma 90.00
_symmetry_space_group_name_H-M 'P 4/m m m'
_symmetry_Int_Tables_number 123
_symmetry_space_group_name_Hall '-P 4 2'
loop_
_atom_site_label
_atom_site_fract_x
_atom_site_fract_y
_atom_site_fract_z
Ge1 0.000 0.000 0.000
As1 0.000 0.000 0.500
Ru1 0.500 0.500 0.244

Energy? In order: -6.65 -4.26 -5.54 -6.36 -6.99 -5.12 -4.98 -7.08 eV/atom.